Ba3TbPr3Te8: relaxed, PBE.

a b c (Å): 15.9657 9.2215 9.6533
angles (deg): 90.00 123.42 90.00
Last column: nearest neighbours and their distance in Å.
Space group C2/m (No. 12)
One atom of each set of equivalent atoms:
Ba (0.0000, 0.0000, 0.0000)  6 Te 3.45-3.47
Ba (0.2500, 0.2500, 0.0000)  6 Te 3.45-3.47
Tb (0.0000, 0.0000, 0.5000)  6 Te 3.16
Pr (0.0000, 0.5000, 0.5000)  6 Te 3.22-3.23
Pr (0.2500, 0.2500, 0.5000)  6 Te 3.22-3.23
Te (0.0085, 0.2458, 0.2796)  1 Tb 3.16, 2 Pr 3.22, 2 Ba 3.47
Te (0.2372, 0.0000, 0.7203)  1 Tb 3.16, 2 Pr 3.22, 2 Ba 3.47
Te (0.2424, 0.5000, 0.7273)  3 Pr 3.23, 3 Ba 3.45

Calculated values
- Volume: 39.5 A^3/atom
- Energy relative to the elements, uncorrected: -1.57 eV/atom
- Density: 5640 kg/m3
- Size of the total moment: 0.000 μB per atom